No. 1
Density functional theory data (PBE) for a relaxed Mn2CoSb crystal.

Cell lengths 3.1006, 4.4597, 4.2123 Å; angles 90.00, 93.19, 90.00 degrees
Atoms (fractional coordinates):
Mn  0.1918  0.0000  0.3218
Mn  0.8082  0.0000  0.6782
Co  0.5000  0.5000  0.5000
Sb  0.0000  0.5000  0.0000

Properties
For the total magnetization, the calculation gives 0.30 μB/cell. The formation energy (no corrections) is 0.4630 eV per atom.



No. 2
Density functional theory data (PBE) for a relaxed LiTeHPd2 crystal.

Cell lengths 4.1058, 4.1058, 4.1172 Å; angles 90.00, 90.00, 90.00 degrees
Atoms (fractional coordinates):
Li  0.0000  0.0000  0.0000
Te  0.5000  0.5000  0.0000
H  0.0000  0.0000  0.5000
Pd  0.0000  0.5000  0.5000
Pd  0.5000  0.0000  0.5000

Properties
For the total magnetization, the calculation gives 0.00 μB/cell. As for the total DFT energy (no corrections): -0.3064 Ry/atom.